Record 1
Here is a relaxed structure of HfGa2Hg from the Open Quantum Materials Database. Energies are from PBE.

Cell and atoms, written as CIF:
```
data_HfGa2Hg
_chemical_formula_sum 'Hf4 Ga8 Hg4'
_cell_length_a 6.834
_cell_length_b 6.834
_cell_length_c 6.834
_cell_angle_alpha 90.00
_cell_angle_beta 90.00
_cell_angle_gamma 90.00
_space_group_name_H-M_alt 'F -4 3 m'
_space_group_IT_number 216
_space_group_name_Hall 'F -4 2 3'
loop_
_atom_site_label
_atom_site_type_symbol
_atom_site_fract_x
_atom_site_fract_y
_atom_site_fract_z
_atom_site_occupancy
Hf1 Hf 0.000 0.000 0.000 1
Ga1 Ga 0.000 0.000 0.500 1
Ga2 Ga 0.250 0.250 0.250 1
Hg1 Hg 0.250 0.250 0.750 1
```

Output
Total energy = -3.9257 eV per atom

Record 2
Here is a relaxed structure of ErCdInSe3 from the Open Quantum Materials Database. Energies are from PBE.

Cell and atoms, written as CIF:
```
data_ErCdInSe3
_chemical_formula_sum 'Er4 Cd4 In4 Se12'
_cell_length_a 12.525
_cell_length_b 4.207
_cell_length_c 12.542
_cell_angle_alpha 90.00
_cell_angle_beta 90.00
_cell_angle_gamma 90.00
_space_group_name_H-M_alt 'P n m a'
_space_group_IT_number 62
_space_group_name_Hall '-P 2ac 2n'
loop_
_atom_site_label
_atom_site_type_symbol
_atom_site_fract_x
_atom_site_fract_y
_atom_site_fract_z
_atom_site_occupancy
Er1 Er 0.031 0.250 0.166 1
Cd1 Cd 0.244 0.750 0.311 1
In1 In 0.155 0.250 0.515 1
Se1 Se 0.029 0.750 0.328 1
Se2 Se 0.088 0.250 0.936 1
Se3 Se 0.243 0.750 0.674 1
```

Output
Polymorph energy (0 for the lowest one) = 0.19 eV/f.u.

Record 3
Here is a relaxed structure of DyHoPt2 from the Open Quantum Materials Database. Energies are from PBE.

Cell and atoms, written as CIF:
```
data_DyHoPt2
_chemical_formula_sum 'Dy2 Ho2 Pt4'
_cell_length_a 4.494
_cell_length_b 5.559
_cell_length_c 7.011
_cell_angle_alpha 90.00
_cell_angle_beta 90.00
_cell_angle_gamma 90.00
_space_group_name_H-M_alt 'P m c 21'
_space_group_IT_number 26
_space_group_name_Hall 'P 2c -2'
loop_
_atom_site_label
_atom_site_type_symbol
_atom_site_fract_x
_atom_site_fract_y
_atom_site_fract_z
_atom_site_occupancy
Dy1 Dy 0.000 0.110 0.000 1
Ho1 Ho 0.500 0.390 0.636 1
Pt1 Pt 0.000 0.406 0.363 1
Pt2 Pt 0.500 0.095 0.273 1
```

Output
Energy of formation from the pure elements = -5.18 eV/f.u.